The following is a DFT calculation (PBE) of a relaxed CrNiSe2 crystal.

Geometry as POSCAR:
```
CrNiSe2
1.0
4.755 0.000 0.000
0.000 3.379 0.000
-0.485 0.000 5.347
Cr Ni Se
1 1 2
direct
0.000 0.000 0.000
0.000 0.000 0.500
0.245 0.500 0.740
0.755 0.500 0.260
```

Crystal system: monoclinic
E_form (uncorrected) (meV/atom): -135
Excess energy over the best structure of this formula in the dataset (eV/atom): 0.220
Space group: P2/m
N(E_F) (states/eV/f.u.): 1.902
Total energy (eV per atom): -5.73